[1]
An optimized crystal structure of AcLa2PrTl4. Source: Alexandria via LeMat-Bulk, functional PBE.

Uncorrected energy (eV/cell): -94.0
Fermi-level density of states (states/eV per cell): 26.8
Total magnetization (μB/cell): 0.000

a b c (Å): 5.6774 5.6774 27.7944
angles (deg): 90.00 90.00 120.00
With the nearest neighbours (Å) after each atom.
Space group R-3m (No. 166, hexagonal axes)
Symmetry-distinct sites (fractional):
Ac 0.0000 0.0000 0.0000 [3 per cell]  8 Tl 3.50-3.53
La 0.0000 0.0000 0.2497 [6 per cell]  8 Tl 3.41-3.55
Pr 0.0000 0.0000 0.5000 [3 per cell]  8 Tl 3.41-3.46
Tl 0.0000 0.0000 0.1270 [6 per cell]  4 La 3.41-3.49, 3 Pr 3.46, 1 Ac 3.53
Tl 0.0000 0.0000 0.3774 [6 per cell]  1 Pr 3.41, 4 La 3.46-3.55, 3 Ac 3.50


[2]
An optimized crystal structure of AcLaPr2Tl2. Source: Alexandria via LeMat-Bulk, functional PBE.

Uncorrected energy (eV/cell): -49.8
Fermi-level density of states (states/eV per cell): 15.9
Total magnetization (μB/cell): 0.002

a b c (Å): 5.4727 10.3625 7.2170
angles (deg): 90.00 90.00 90.00
With the nearest neighbours (Å) after each atom.
Space group Pmc2_1 (No. 26)
Symmetry-distinct sites (fractional):
Ac 0.0000 0.0451 0.0000 [2 per cell]  5 Tl 3.49-3.85, 2 La 3.66, 2 Ac 3.73, 1 Pr 3.81
La 0.5000 0.1789 0.7223 [2 per cell]  4 Tl 3.37-3.46, 2 Ac 3.66, 1 Pr 3.76
Pr 0.0000 0.3278 0.3383 [2 per cell]  4 Tl 3.24-3.39
Pr 0.5000 0.4573 0.0561 [2 per cell]  5 Tl 3.43-3.78, 4 Pr 3.67-3.72, 1 La 3.76
Tl 0.0000 0.3601 0.8051 [2 per cell]  4 Pr 3.24-3.43, 2 La 3.37, 1 Ac 3.55
Tl 0.5000 0.1538 0.2554 [2 per cell]  3 Pr 3.33-3.46, 2 La 3.38-3.46, 2 Ac 3.49


[3]
An optimized crystal structure of AcLaPrTl. Source: Alexandria via LeMat-Bulk, functional PBE.

Uncorrected energy (eV/cell): -65.4
Fermi-level density of states (states/eV per cell): 30.3
Total magnetization (μB/cell): 0.020

a b c (Å): 8.1968 8.1968 8.1968
angles (deg): 90.00 90.00 90.00
With the nearest neighbours (Å) after each atom.
Space group F-43m (No. 216)
Symmetry-distinct sites (fractional):
Ac 0.0000 0.0000 0.0000 [4 per cell]  4 La 3.55, 4 Pr 3.55
La 0.2500 0.2500 0.7500 [4 per cell]  4 Ac 3.55, 4 Tl 3.55
Pr 0.2500 0.2500 0.2500 [4 per cell]  4 Ac 3.55, 4 Tl 3.55
Tl 0.0000 0.0000 0.5000 [4 per cell]  4 La 3.55, 4 Pr 3.55


[4]
An optimized crystal structure of Ac2La2Pr4Tm. Source: Alexandria via LeMat-Bulk, functional PBE.

Uncorrected energy (eV/cell): -82.8
Fermi-level density of states (states/eV per cell): 25.8
Total magnetization (μB/cell): 0.000

a b c (Å): 19.5360 3.8053 10.1310
angles (deg): 90.00 115.59 90.00
With the nearest neighbours (Å) after each atom.
Space group C2/m (No. 12)
Symmetry-distinct sites (fractional):
Ac 0.1439 0.0000 0.1650 [4 per cell]  7 Pr 3.78-3.83, 3 La 3.78-3.82, 2 Ac 3.81
La 0.1634 0.5000 0.5020 [4 per cell]  3 Pr 3.62-3.71, 2 Tm 3.71, 3 Ac 3.78-3.82, 4 La 3.81-3.90
Pr 0.0185 0.5000 0.8159 [4 per cell]  2 Tm 3.60, 1 La 3.62, 4 Pr 3.71-3.81, 4 Ac 3.78-3.83
Pr 0.1852 0.0000 0.8325 [4 per cell]  2 La 3.71, 6 Pr 3.71-3.81, 1 Tm 3.73, 3 Ac 3.79-3.83
Tm 0.0000 0.0000 0.5000 [2 per cell]  6 Pr 3.60-3.73, 4 La 3.71, 2 Tm 3.81


[5]
An optimized crystal structure of AcLaPrTm. Source: Alexandria via LeMat-Bulk, functional PBE.

Uncorrected energy (eV/cell): -70.6
Fermi-level density of states (states/eV per cell): 44.8
Polymorph energy (0 for the lowest one) (meV/atom): 103
Total magnetization (μB/cell): 0.785

a b c (Å): 8.4327 8.4327 8.4327
angles (deg): 90.00 90.00 90.00
With the nearest neighbours (Å) after each atom.
Space group F-43m (No. 216)
Symmetry-distinct sites (fractional):
Ac 0.0000 0.0000 0.0000 [4 per cell]  4 La 3.65, 4 Pr 3.65
La 0.2500 0.2500 0.7500 [4 per cell]  4 Ac 3.65, 4 Tm 3.65
Pr 0.2500 0.2500 0.2500 [4 per cell]  4 Tm 3.65, 4 Ac 3.65
Tm 0.0000 0.0000 0.5000 [4 per cell]  4 La 3.65, 4 Pr 3.65


[6]
An optimized crystal structure of AcLa2Pr4Tm. Source: Alexandria via LeMat-Bulk, functional PBE.

Uncorrected energy (eV/cell): -36.7
Fermi-level density of states (states/eV per cell): 17.0
Total magnetization (μB/cell): 0.000

a b c (Å): 6.1465 6.1794 7.6975
angles (deg): 90.00 90.00 90.00
With the nearest neighbours (Å) after each atom.
Space group Pmmm (No. 47)
Symmetry-distinct sites (fractional):
Ac 0.0000 0.0000 0.0000 [1 per cell]  8 Pr 3.70-3.71, 2 La 3.85
La 0.0000 0.0000 0.5000 [1 per cell]  8 Pr 3.55-3.57, 2 Ac 3.85
La 0.5000 0.5000 0.0000 [1 per cell]  8 Pr 3.69-3.72, 2 Tm 3.85
Pr 0.0000 0.5000 0.2664 [2 per cell]  2 Tm 3.56, 4 La 3.57-3.69, 1 Pr 3.60, 2 Ac 3.71
Pr 0.5000 0.0000 0.2686 [2 per cell]  4 La 3.55-3.72, 1 Pr 3.56, 2 Tm 3.57, 2 Ac 3.70
Tm 0.5000 0.5000 0.5000 [1 per cell]  8 Pr 3.56-3.57, 2 La 3.85


[7]
An optimized crystal structure of AcLaPr2Tm. Source: Alexandria via LeMat-Bulk, functional PBE.

Uncorrected energy (eV/cell): -45.8
Fermi-level density of states (states/eV per cell): 17.9
Total magnetization (μB/cell): 0.000

a b c (Å): 8.3181 5.2976 8.3486
angles (deg): 90.00 90.35 90.00
With the nearest neighbours (Å) after each atom.
Space group P2_1/m (No. 11)
Symmetry-distinct sites (fractional):
Ac 0.0502 0.2500 0.1518 [2 per cell]  4 Pr 3.71-3.78, 2 Ac 3.76, 3 Tm 3.78-3.79, 3 La 3.78-3.80
La 0.2581 0.2500 0.7475 [2 per cell]  3 Tm 3.61-3.74, 6 Pr 3.66-3.80, 3 Ac 3.78-3.80
Pr 0.1560 0.7500 0.4463 [2 per cell]  5 Pr 3.68-3.82, 3 Ac 3.72-3.78, 1 Tm 3.74, 3 La 3.75-3.80
Pr 0.4537 0.2500 0.3440 [2 per cell]  3 Tm 3.63-3.71, 3 La 3.66-3.75, 5 Pr 3.68-3.79, 1 Ac 3.71
Tm 0.3584 0.7500 0.0476 [2 per cell]  3 La 3.61-3.74, 4 Pr 3.63-3.74, 2 Tm 3.64, 3 Ac 3.78-3.79


[8]
An optimized crystal structure of AcLa2Pr6Tm. Source: Alexandria via LeMat-Bulk, functional PBE.

Uncorrected energy (eV/cell): -184.1
Fermi-level density of states (states/eV per cell): 60.4
Total magnetization (μB/cell): 0.000

a b c (Å): 9.4434 15.7002 10.0342
angles (deg): 90.00 97.02 90.00
With the nearest neighbours (Å) after each atom.
Space group C2/c (No. 15)
Symmetry-distinct sites (fractional):
Ac 0.0000 0.0184 0.2500 [4 per cell]  4 La 3.55-3.62, 4 Pr 3.78-3.84
La 0.2447 0.4457 0.4558 [8 per cell]  5 Pr 3.34-3.72, 2 Ac 3.55-3.62, 1 Tm 3.70
Pr 0.0648 0.1910 0.9462 [8 per cell]  7 Pr 3.56-3.98, 1 La 3.72, 1 Ac 3.84, 1 Tm 3.96
Pr 0.1020 0.3957 0.1174 [8 per cell]  3 La 3.34-3.58, 4 Pr 3.41-3.64, 2 Tm 3.53-3.70
Pr 0.2097 0.2229 0.3097 [8 per cell]  5 Pr 3.41-3.81, 2 La 3.53-3.79, 1 Tm 3.54, 1 Ac 3.78
Tm 0.0000 0.4088 0.7500 [4 per cell]  6 Pr 3.53-3.70, 2 La 3.70


[9]
An optimized crystal structure of Ac2LaPr5Tm. Source: Alexandria via LeMat-Bulk, functional PBE.

Uncorrected energy (eV/cell): -161.4
Fermi-level density of states (states/eV per cell): 50.7
Total magnetization (μB/cell): 0.000

a b c (Å): 5.9044 20.8939 11.0255
angles (deg): 90.00 90.00 90.00
With the nearest neighbours (Å) after each atom.
Space group Cmc2_1 (No. 36)
Symmetry-distinct sites (fractional):
Ac 0.0000 0.1148 0.0000 [4 per cell]  1 Tm 3.60, 9 Pr 3.63-4.00, 2 La 3.96
Ac 0.0000 0.1165 0.5836 [4 per cell]  8 Pr 3.43-3.73, 1 Tm 3.84
La 0.0000 0.4099 0.7351 [4 per cell]  5 Pr 3.17-3.44
Pr 0.0000 0.0179 0.2882 [4 per cell]  2 La 3.37, 3 Ac 3.60-3.77
Pr 0.0000 0.2807 0.5842 [4 per cell]  1 La 3.17, 1 Ac 3.43, 2 Pr 3.55
Pr 0.0000 0.2933 0.9732 [4 per cell]  3 Pr 3.55-3.93, 1 La 3.58, 3 Tm 3.65-3.84, 3 Ac 3.71-3.74
Pr 0.0000 0.3824 0.2867 [4 per cell]  4 Ac 3.71-3.77, 6 Pr 3.71-4.09, 1 Tm 3.71
Pr 0.0000 0.4860 0.0121 [4 per cell]  2 La 3.28-3.44
Tm 0.0000 0.2050 0.2784 [4 per cell]  2 Ac 3.60-3.84, 8 Pr 3.65-3.91, 2 La 3.84


[10]
An optimized crystal structure of AcLa2Pr2Tm. Source: Alexandria via LeMat-Bulk, functional PBE.

Uncorrected energy (eV/cell): -55.4
Fermi-level density of states (states/eV per cell): 18.0
Total magnetization (μB/cell): 0.000

a b c (Å): 7.3495 5.8725 10.2093
angles (deg): 90.00 90.00 90.00
With the nearest neighbours (Å) after each atom.
Space group Pmma (No. 51)
Symmetry-distinct sites (fractional):
Ac 0.0000 0.0000 0.0000 [2 per cell]  2 Ac 3.67, 4 Tm 3.86, 2 La 3.87, 6 Pr 3.87-3.89
La 0.0000 0.5000 0.5000 [2 per cell]  6 La 3.67-3.86, 6 Pr 3.84-3.85, 2 Tm 3.87
La 0.2500 0.0000 0.3339 [2 per cell]  5 Pr 3.37-3.67
Pr 0.2500 0.0000 0.6638 [2 per cell]  3 La 3.37-3.67, 2 Tm 3.41
Pr 0.2500 0.5000 0.1701 [2 per cell]  2 La 3.38, 3 Tm 3.44-3.67
Tm 0.2500 0.5000 0.8332 [2 per cell]  5 Pr 3.41-3.67


[11]
An optimized crystal structure of Ac2La4PrTm. Source: Alexandria via LeMat-Bulk, functional PBE.

Uncorrected energy (eV/cell): -36.9
Fermi-level density of states (states/eV per cell): 14.4
Total magnetization (μB/cell): 0.000

a b c (Å): 5.3047 5.3394 10.6914
angles (deg): 90.00 90.00 90.00
With the nearest neighbours (Å) after each atom.
Space group Pmmm (No. 47)
Symmetry-distinct sites (fractional):
Ac 0.0000 0.0000 0.0000 [1 per cell]  8 La 3.75-3.76, 4 Tm 3.76
Ac 0.5000 0.5000 0.5000 [1 per cell]  4 Pr 3.76, 8 La 3.79
La 0.0000 0.5000 0.2470 [2 per cell]  2 Tm 3.74, 4 Ac 3.76-3.79, 4 La 3.76, 2 Pr 3.80
La 0.5000 0.0000 0.2478 [2 per cell]  4 Ac 3.75-3.79, 2 Tm 3.76, 4 La 3.76, 2 Pr 3.78
Pr 0.0000 0.0000 0.5000 [1 per cell]  4 Ac 3.76, 8 La 3.78-3.80
Tm 0.5000 0.5000 0.0000 [1 per cell]  8 La 3.74-3.76, 4 Ac 3.76


[12]
An optimized crystal structure of AcLaPr6Tm2. Source: Alexandria via LeMat-Bulk, functional PBE.

Uncorrected energy (eV/cell): -182.2
Fermi-level density of states (states/eV per cell): 56.2
Total magnetization (μB/cell): 0.000

a b c (Å): 9.4986 15.5328 9.9617
angles (deg): 90.00 96.79 90.00
With the nearest neighbours (Å) after each atom.
Space group C2/c (No. 15)
Symmetry-distinct sites (fractional):
Ac 0.0000 0.0326 0.2500 [4 per cell]  4 Tm 3.55-3.60, 6 Pr 3.72-3.90
La 0.0000 0.4077 0.7500 [4 per cell]  6 Pr 3.53-3.70, 2 Tm 3.68
Pr 0.0686 0.1781 0.9451 [8 per cell]  5 Pr 3.50-3.85, 1 Tm 3.62, 2 Ac 3.82-3.90
Pr 0.0965 0.3920 0.1205 [8 per cell]  3 Pr 3.33-3.50, 3 Tm 3.38-3.55, 2 La 3.53-3.70
Pr 0.2156 0.2305 0.3223 [8 per cell]  3 Pr 3.33-3.71, 2 Tm 3.56-3.61, 1 La 3.59, 1 Ac 3.72
Tm 0.2483 0.4478 0.4519 [8 per cell]  6 Pr 3.38-3.62, 2 Ac 3.55-3.60, 1 La 3.68